i) Material: RbInSn4
Method: DFT, PBE
State: optimized geometry

```
data_RbInSn4
_chemical_formula_sum 'Rb4 In4 Sn16'
_cell_length_a 9.0719
_cell_length_b 9.0719
_cell_length_c 9.0719
_cell_angle_alpha 90.00
_cell_angle_beta 90.00
_cell_angle_gamma 90.00
_symmetry_space_group_name_H-M 'F -4 3 m'
_symmetry_Int_Tables_number 216
_symmetry_space_group_name_Hall 'F -4 2 3'
loop_
_atom_site_label
_atom_site_type_symbol
_atom_site_fract_x
_atom_site_fract_y
_atom_site_fract_z
Rb1 Rb 0.0000 0.0000 0.0000
In1 In 0.2500 0.2500 0.7500
Sn1 Sn 0.1247 0.1247 0.3753
```

total magnetization: 0.00 μB/atom


ii) Material: RbInSn4
Method: DFT, PBE
State: optimized geometry

```
data_RbInSn4
_chemical_formula_sum 'Rb2 In2 Sn8'
_cell_length_a 4.7716
_cell_length_b 7.9451
_cell_length_c 10.2437
_cell_angle_alpha 90.00
_cell_angle_beta 90.00
_cell_angle_gamma 90.00
_symmetry_space_group_name_H-M 'I m m m'
_symmetry_Int_Tables_number 71
_symmetry_space_group_name_Hall '-I 2 2'
loop_
_atom_site_label
_atom_site_type_symbol
_atom_site_fract_x
_atom_site_fract_y
_atom_site_fract_z
Rb1 Rb 0.0000 0.0000 0.0000
In1 In 0.0000 0.5000 0.0000
Sn1 Sn 0.0000 0.1911 0.3353
```

total magnetization: 0.00 μB/atom


Relative calculated energies, zero for the most stable structure, unit meV/atom: i) 68; ii) 0.


i) Material: RbIn2Sn2
Method: DFT, PBE
State: optimized geometry

```
data_RbIn2Sn2
_chemical_formula_sum 'Rb2 In4 Sn4'
_cell_length_a 5.1837
_cell_length_b 5.1837
_cell_length_c 12.2415
_cell_angle_alpha 90.00
_cell_angle_beta 90.00
_cell_angle_gamma 90.00
_symmetry_space_group_name_H-M 'I 4/m m m'
_symmetry_Int_Tables_number 139
_symmetry_space_group_name_Hall '-I 4 2'
loop_
_atom_site_label
_atom_site_type_symbol
_atom_site_fract_x
_atom_site_fract_y
_atom_site_fract_z
Rb1 Rb 0.0000 0.0000 0.0000
In1 In 0.0000 0.0000 0.3812
Sn1 Sn 0.0000 0.5000 0.2500
```

total magnetization: 0.00 μB/atom


ii) Material: RbIn2Sn2
Method: DFT, PBE
State: optimized geometry

```
data_RbIn2Sn2
_chemical_formula_sum 'Rb2 In4 Sn4'
_cell_length_a 9.4878
_cell_length_b 9.4878
_cell_length_c 3.5382
_cell_angle_alpha 90.00
_cell_angle_beta 90.00
_cell_angle_gamma 90.00
_symmetry_space_group_name_H-M 'P 4/m b m'
_symmetry_Int_Tables_number 127
_symmetry_space_group_name_Hall '-P 4 2ab'
loop_
_atom_site_label
_atom_site_type_symbol
_atom_site_fract_x
_atom_site_fract_y
_atom_site_fract_z
Rb1 Rb 0.0000 0.0000 0.0000
In1 In 0.1563 0.3437 0.5000
Sn1 Sn 0.1259 0.6259 0.0000
```

total magnetization: 0.00 μB/atom


iii) Material: RbIn2Sn2
Method: DFT, PBE
State: optimized geometry

```
data_RbIn2Sn2
_chemical_formula_sum 'Rb2 In4 Sn4'
_cell_length_a 5.3448
_cell_length_b 5.3448
_cell_length_c 11.7235
_cell_angle_alpha 90.00
_cell_angle_beta 90.00
_cell_angle_gamma 90.00
_symmetry_space_group_name_H-M 'I 4/m m m'
_symmetry_Int_Tables_number 139
_symmetry_space_group_name_Hall '-I 4 2'
loop_
_atom_site_label
_atom_site_type_symbol
_atom_site_fract_x
_atom_site_fract_y
_atom_site_fract_z
Rb1 Rb 0.0000 0.0000 0.0000
In1 In 0.0000 0.5000 0.2500
Sn1 Sn 0.0000 0.0000 0.3746
```

total magnetization: 0.00 μB/atom


Relative calculated energies, zero for the most stable structure, unit meV/atom: i) 8; ii) 110; iii) 0.


i) Material: RbIn2Sn2
Method: DFT, PBE
State: optimized geometry

```
data_RbIn2Sn2
_chemical_formula_sum 'Rb2 In4 Sn4'
_cell_length_a 9.4455
_cell_length_b 9.4455
_cell_length_c 3.5230
_cell_angle_alpha 90.00
_cell_angle_beta 90.00
_cell_angle_gamma 90.00
_symmetry_space_group_name_H-M 'P 4/m b m'
_symmetry_Int_Tables_number 127
_symmetry_space_group_name_Hall '-P 4 2ab'
loop_
_atom_site_label
_atom_site_type_symbol
_atom_site_fract_x
_atom_site_fract_y
_atom_site_fract_z
Rb1 Rb 0.0000 0.0000 0.0000
In1 In 0.1381 0.3619 0.0000
Sn1 Sn 0.1460 0.6460 0.5000
```

total magnetization: 0.00 μB/atom


ii) Material: RbIn2Sn2
Method: DFT, PBE
State: optimized geometry

```
data_RbIn2Sn2
_chemical_formula_sum 'Rb2 In4 Sn4'
_cell_length_a 5.2599
_cell_length_b 5.2599
_cell_length_c 11.9516
_cell_angle_alpha 90.00
_cell_angle_beta 90.00
_cell_angle_gamma 90.00
_symmetry_space_group_name_H-M 'P 4/n m m'
_symmetry_Int_Tables_number 129
loop_
_symmetry_equiv_pos_as_xyz
'x,y,z'
'-x,-y,-z'
'-y+1/2,x,z'
'y+1/2,-x,-z'
'-x+1/2,-y+1/2,z'
'x+1/2,y+1/2,-z'
'y,-x+1/2,z'
'-y,x+1/2,-z'
'x+1/2,-y,-z'
'-x+1/2,y,z'
'-y,-x,-z'
'y,x,z'
'-x,y+1/2,-z'
'x,-y+1/2,z'
'y+1/2,x+1/2,-z'
'-y+1/2,-x+1/2,z'
loop_
_atom_site_label
_atom_site_type_symbol
_atom_site_fract_x
_atom_site_fract_y
_atom_site_fract_z
Rb1 Rb 0.2500 0.2500 0.2504
In1 In 0.2500 0.2500 0.6278
In2 In 0.2500 0.7500 0.0000
Sn1 Sn 0.2500 0.2500 0.8722
Sn2 Sn 0.2500 0.7500 0.5000
```

total magnetization: 0.00 μB/atom


Relative calculated energies, zero for the most stable structure, unit meV/atom: i) 113; ii) 0.


i) Material: RbInSn3
Method: DFT, PBE
State: optimized geometry

```
data_RbInSn3
_chemical_formula_sum 'Rb1 In1 Sn3'
_cell_length_a 6.1119
_cell_length_b 6.1119
_cell_length_c 6.1119
_cell_angle_alpha 90.00
_cell_angle_beta 90.00
_cell_angle_gamma 90.00
_symmetry_space_group_name_H-M 'P m -3 m'
_symmetry_Int_Tables_number 221
_symmetry_space_group_name_Hall '-P 4 2 3'
loop_
_atom_site_label
_atom_site_type_symbol
_atom_site_fract_x
_atom_site_fract_y
_atom_site_fract_z
Rb1 Rb 0.0000 0.0000 0.0000
In1 In 0.5000 0.5000 0.5000
Sn1 Sn 0.0000 0.0000 0.5000
```

total magnetization: 0.00 μB/atom


ii) Material: RbInSn3
Method: DFT, PBE
State: optimized geometry

```
data_RbInSn3
_chemical_formula_sum 'Rb1 In1 Sn3'
_cell_length_a 5.8255
_cell_length_b 5.8255
_cell_length_c 5.8255
_cell_angle_alpha 90.00
_cell_angle_beta 90.00
_cell_angle_gamma 90.00
_symmetry_space_group_name_H-M 'P m -3 m'
_symmetry_Int_Tables_number 221
_symmetry_space_group_name_Hall '-P 4 2 3'
loop_
_atom_site_label
_atom_site_type_symbol
_atom_site_fract_x
_atom_site_fract_y
_atom_site_fract_z
Rb1 Rb 0.0000 0.0000 0.0000
In1 In 0.5000 0.5000 0.5000
Sn1 Sn 0.0000 0.5000 0.5000
```

total magnetization: 0.00 μB/atom


Relative calculated energies, zero for the most stable structure, unit meV/atom: i) 873; ii) 0.